[1]
Entry from the Alexandria database: a geometry-optimized La6H2C3Br structure (PBE).

Values from the calculation:
uncorrected energy: -5.921 eV per atom
density of states at the Fermi level: 4.2 states/eV/cell

Structure (POSCAR):
```
La6H2C3Br
1.0
3.8583 0.0000 0.0000
0.0000 8.2582 -0.0389
-1.9291 -2.7287 8.3767
H La C Br
2 6 3 1
Direct
0.1691 0.3285 0.3383 H
0.8309 0.6715 0.6617 H
0.6806 0.0695 0.3611 La
0.3194 0.9305 0.6389 La
0.6591 0.6095 0.3182 La
0.3409 0.3905 0.6818 La
0.9953 0.2854 0.9906 La
0.0047 0.7146 0.0094 La
0.5000 0.5000 0.0000 C
0.8359 0.1694 0.6717 C
0.1641 0.8306 0.3283 C
0.5000 0.0000 0.0000 Br
```

---

[2]
Entry from the Alexandria database: a geometry-optimized La6HC2Br3 structure (PBE).

Values from the calculation:
uncorrected energy: -5.567 eV per atom
density of states at the Fermi level: 6.2 states/eV/cell

Structure (POSCAR):
```
La6HC2Br3
1.0
6.7672 0.0044 -0.0032
-3.3781 5.8637 -0.0032
-1.1332 -1.9620 7.5338
Br La C H
3 6 2 1
Direct
0.5000 0.5000 0.5000 Br
0.8332 0.1668 0.5000 Br
0.1668 0.8332 0.5000 Br
0.5890 0.9381 0.8124 La
0.7124 0.7124 0.1882 La
0.2876 0.2876 0.8118 La
0.4110 0.0619 0.1876 La
0.9381 0.5890 0.8124 La
0.0619 0.4110 0.1876 La
0.3338 0.6662 0.0000 C
0.6662 0.3338 0.0000 C
0.0000 0.0000 0.0000 H
```

---

[3]
Entry from the Alexandria database: a geometry-optimized MnPH6CBr3 structure (PBE).

Values from the calculation:
uncorrected energy: -4.462 eV per atom

Structure (POSCAR):
```
MnPH6CBr3
1.0
-0.8424 3.7350 7.4609
-4.0695 -4.9512 1.7390
12.7797 -12.0218 -1.9821
C Br H P Mn
4 12 24 4 4
Direct
0.1607 0.2429 0.9725 C
0.9194 0.7237 0.1308 C
0.8614 0.8421 0.6175 C
0.1778 0.2769 0.4666 C
0.2132 0.2899 0.6900 Br
0.6463 0.3056 0.6812 Br
0.3946 0.7269 0.1203 Br
0.3857 0.7087 0.3281 Br
0.6421 0.2889 0.8926 Br
0.8236 0.7302 0.3268 Br
0.3556 0.7813 0.8293 Br
0.2463 0.2117 0.1935 Br
0.6799 0.2344 0.1862 Br
0.3621 0.7965 0.6198 Br
0.6742 0.2179 0.3964 Br
0.7940 0.8011 0.8252 Br
0.9789 0.6305 0.5312 H
0.6304 0.9315 0.0296 H
0.1009 0.3759 0.9832 H
0.7458 0.8420 0.6307 H
0.2399 0.4369 0.8608 H
0.2416 0.4250 0.4906 H
0.9858 0.5850 0.1300 H
0.3033 0.2336 0.0221 H
0.8817 0.7143 0.1826 H
0.0968 0.0419 0.3355 H
0.9632 0.2741 0.8019 H
0.6699 0.6678 0.4656 H
0.7597 0.7719 0.9603 H
0.5970 0.5927 0.0146 H
0.2533 0.1600 0.5148 H
0.0871 0.3770 0.3056 H
0.3626 0.2256 0.3818 H
0.0857 0.1069 0.9757 H
0.9880 0.8195 0.6778 H
0.8107 0.4557 0.5826 H
0.2236 0.0921 0.8528 H
0.0359 0.2739 0.4537 H
0.0129 0.8529 0.1411 H
0.8702 0.9854 0.5867 H
0.8288 0.6413 0.5460 P
0.7187 0.7559 0.0296 P
0.1462 0.2619 0.8677 P
0.1821 0.2293 0.3683 P
0.5062 0.5418 0.7541 Mn
0.5337 0.4727 0.2550 Mn
0.5346 0.9702 0.2554 Mn
0.5039 0.0441 0.7541 Mn
```

---

[4]
Entry from the Alexandria database: a geometry-optimized H6PbCBr3N3 structure (PBE).

Values from the calculation:
uncorrected energy: -5.029 eV per atom
density of states at the Fermi level: 0.0 states/eV/cell

Structure (POSCAR):
```
H6PbCBr3N3
1.0
9.1659 0.0000 0.0276
0.0000 7.8398 0.0000
-9.2303 0.0000 15.7001
Pb H C Br N
4 24 4 12 12
Direct
0.4997 0.4840 0.7498 Pb
0.4997 0.0160 0.2498 Pb
0.5003 0.9840 0.7502 Pb
0.5003 0.5160 0.2502 Pb
0.8549 0.7579 0.4777 H
0.5999 0.7476 0.5751 H
0.4032 0.2576 0.0207 H
0.0461 0.7475 0.5723 H
0.1451 0.2579 0.0223 H
0.8627 0.7371 0.7054 H
0.9539 0.2525 0.4277 H
0.8627 0.7629 0.2054 H
0.9493 0.2627 0.2957 H
0.0507 0.7627 0.2043 H
0.4001 0.2524 0.4249 H
0.5968 0.7576 0.4793 H
0.9493 0.2373 0.7957 H
0.5968 0.7424 0.9793 H
0.1451 0.2421 0.5223 H
0.1373 0.2629 0.2946 H
0.0461 0.7525 0.0723 H
0.1373 0.2371 0.7946 H
0.9539 0.2475 0.9277 H
0.4001 0.2476 0.9249 H
0.4032 0.2424 0.5207 H
0.5999 0.7524 0.0751 H
0.8549 0.7421 0.9777 H
0.0507 0.7373 0.7043 H
0.1647 0.2522 0.4142 C
0.8353 0.7478 0.5858 C
0.8353 0.7522 0.0858 C
0.1647 0.2478 0.9142 C
0.6517 0.2652 0.3998 Br
0.7979 0.7328 0.8249 Br
0.3547 0.7668 0.3262 Br
0.7979 0.7672 0.3249 Br
0.2021 0.2672 0.1751 Br
0.3483 0.7652 0.1002 Br
0.3547 0.7332 0.8262 Br
0.6453 0.2668 0.1737 Br
0.3483 0.7348 0.6002 Br
0.2021 0.2328 0.6751 Br
0.6453 0.2332 0.6738 Br
0.6517 0.2348 0.8998 Br
0.9175 0.7473 0.0425 N
0.3337 0.2475 0.4559 N
0.9219 0.7384 0.6707 N
0.9175 0.7527 0.5425 N
0.9219 0.7616 0.1707 N
0.0781 0.2384 0.8293 N
0.0825 0.2527 0.9575 N
0.6663 0.7525 0.5441 N
0.6663 0.7475 0.0441 N
0.3337 0.2525 0.9559 N
0.0781 0.2616 0.3293 N
0.0825 0.2473 0.4575 N
```

---

[5]
Entry from the Alexandria database: a geometry-optimized SnH16C4Br6N2 structure (PBE).

Values from the calculation:
uncorrected energy: -4.574 eV per atom
density of states at the Fermi level: 0.0 states/eV/cell

Structure (POSCAR):
```
SnH16C4Br6N2
1.0
-6.6347 2.1111 3.4413
1.3238 -5.7785 6.0971
7.1725 9.8549 7.7827
H C Br N Sn
32 8 12 4 2
Direct
0.5000 0.9634 0.2135 H
0.1060 0.6386 0.4039 H
0.6155 0.6163 0.8191 H
0.6060 0.1386 0.0961 H
0.3940 0.8614 0.9039 H
0.6155 0.3837 0.1809 H
0.3847 0.8743 0.7358 H
0.3845 0.6163 0.8191 H
0.6153 0.8743 0.7358 H
0.1153 0.6257 0.2358 H
0.0000 0.8980 0.4265 H
0.1155 0.8837 0.3191 H
0.6060 0.8614 0.9039 H
0.8847 0.6257 0.2358 H
0.0000 0.1020 0.5735 H
0.3940 0.1386 0.0961 H
0.3847 0.1257 0.2642 H
0.6153 0.1257 0.2642 H
0.1060 0.3614 0.5961 H
0.5000 0.0366 0.7865 H
0.8940 0.3614 0.5961 H
0.5000 0.6020 0.9265 H
0.8845 0.8837 0.3191 H
0.8845 0.1163 0.6809 H
0.1155 0.1163 0.6809 H
0.3845 0.3837 0.1809 H
0.0000 0.5366 0.7135 H
0.0000 0.4634 0.2865 H
0.8940 0.6386 0.4039 H
0.5000 0.3980 0.0735 H
0.1153 0.3743 0.7642 H
0.8847 0.3743 0.7642 H
0.0000 0.8476 0.3569 C
0.0000 0.4097 0.7259 C
0.5000 0.3476 0.1431 C
0.0000 0.1524 0.6431 C
0.5000 0.6524 0.8569 C
0.5000 0.0903 0.2259 C
0.5000 0.9097 0.7741 C
0.0000 0.5903 0.2741 C
0.5000 0.3395 0.6571 Br
0.0000 0.8395 0.8429 Br
0.7452 0.6878 0.5658 Br
0.7548 0.8122 0.0658 Br
0.2548 0.6878 0.5658 Br
0.2452 0.1878 0.9342 Br
0.5000 0.6605 0.3429 Br
0.0000 0.1605 0.1571 Br
0.2452 0.8122 0.0658 Br
0.2548 0.3122 0.4342 Br
0.7548 0.1878 0.9342 Br
0.7452 0.3122 0.4342 Br
0.0000 0.3272 0.6349 N
0.0000 0.6728 0.3651 N
0.5000 0.8272 0.8651 N
0.5000 0.1728 0.1349 N
0.5000 0.5000 0.5000 Sn
0.0000 0.0000 0.0000 Sn
```

---

[6]
Entry from the Alexandria database: a geometry-optimized SnH14C4Br4N2 structure (PBE).

Values from the calculation:
uncorrected energy: -4.781 eV per atom
density of states at the Fermi level: 0.0 states/eV/cell

Structure (POSCAR):
```
SnH14C4Br4N2
1.0
-11.2684 4.5970 -3.6549
-2.8865 -2.8141 5.3599
1.1301 6.8928 5.1853
Br H C N Sn
8 28 8 4 2
Direct
0.8192 0.8385 0.0826 Br
0.4804 0.7441 0.2869 Br
0.1808 0.1615 0.9174 Br
0.5196 0.2559 0.7131 Br
0.3192 0.1615 0.4174 Br
0.0196 0.7441 0.7869 Br
0.6808 0.8385 0.5826 Br
0.9804 0.2559 0.2131 Br
0.0293 0.1999 0.6470 H
0.6980 0.3108 0.4821 H
0.7909 0.4345 0.7921 H
0.9692 0.3700 0.8606 H
0.7091 0.4345 0.2921 H
0.2642 0.8286 0.6756 H
0.3020 0.6892 0.5179 H
0.7642 0.1714 0.8244 H
0.9226 0.3678 0.5963 H
0.7358 0.1714 0.3244 H
0.5308 0.3700 0.3606 H
0.2909 0.5655 0.7079 H
0.0308 0.6300 0.1394 H
0.6011 0.1040 0.1278 H
0.1011 0.8960 0.3722 H
0.3989 0.8960 0.8722 H
0.4707 0.1999 0.1470 H
0.8989 0.1040 0.6278 H
0.5774 0.3678 0.0963 H
0.1980 0.6892 0.0179 H
0.5293 0.8001 0.8530 H
0.4692 0.6300 0.6394 H
0.2091 0.5655 0.2079 H
0.4226 0.6322 0.9037 H
0.9707 0.8001 0.3530 H
0.2358 0.8286 0.1756 H
0.0774 0.6322 0.4037 H
0.8020 0.3108 0.9821 H
0.4455 0.7713 0.8353 C
0.6867 0.2940 0.3591 C
0.9455 0.2287 0.6647 C
0.5545 0.2287 0.1647 C
0.8133 0.2940 0.8591 C
0.0545 0.7713 0.3353 C
0.1867 0.7060 0.1409 C
0.3133 0.7060 0.6409 C
0.5746 0.2498 0.3302 N
0.4254 0.7502 0.6698 N
0.9254 0.2498 0.8302 N
0.0746 0.7502 0.1698 N
0.5000 0.0000 0.5000 Sn
0.0000 0.0000 0.0000 Sn
```

---

[7]
Entry from the Alexandria database: a geometry-optimized ZnH6CBr3N3 structure (PBE).

Values from the calculation:
uncorrected energy: -4.848 eV per atom
density of states at the Fermi level: 0.0 states/eV/cell

Structure (POSCAR):
```
ZnH6CBr3N3
1.0
-2.4993 -3.0855 -0.5401
2.6309 -0.5343 -7.2935
5.0292 -4.6089 3.4158
C H Zn Br N
1 6 1 3 3
Direct
0.0222 0.9922 0.9936 C
0.8379 0.9428 0.2318 H
0.8592 0.7614 0.0651 H
0.1613 0.7895 0.8087 H
0.9515 0.2203 0.1622 H
0.1440 0.2470 0.9650 H
0.1994 0.9932 0.7396 H
0.4869 0.4093 0.5618 Zn
0.9881 0.5309 0.4210 Br
0.4786 0.0990 0.4825 Br
0.4591 0.5107 0.8744 Br
0.1207 0.9198 0.8325 N
0.9158 0.8894 0.1089 N
0.0267 0.1656 0.0398 N
```

---

[8]
Entry from the Alexandria database: a geometry-optimized ZnH6CBr3N3 structure (PBE).

Values from the calculation:
uncorrected energy: -4.849 eV per atom
density of states at the Fermi level: 0.0 states/eV/cell

Structure (POSCAR):
```
ZnH6CBr3N3
1.0
-0.5610 -4.8184 7.4864
-5.4221 -4.8369 -2.3202
11.3848 -4.7636 -12.8582
N H C Br Zn
12 24 4 12 4
Direct
0.1219 0.3050 0.9921 N
0.3632 0.1956 0.4923 N
0.8780 0.7264 0.1383 N
0.8978 0.7741 0.6382 N
0.3829 0.2783 0.9914 N
0.8993 0.7778 0.5086 N
0.6171 0.7217 0.0086 N
0.6368 0.8044 0.5077 N
0.1022 0.2259 0.3618 N
0.1220 0.2736 0.8617 N
0.1007 0.2222 0.4914 N
0.8781 0.6950 0.0079 N
0.1677 0.2192 0.3284 H
0.0060 0.7170 0.0377 H
0.1845 0.2573 0.8265 H
0.0324 0.7649 0.5397 H
0.0104 0.7194 0.1718 H
0.9676 0.2351 0.4603 H
0.0308 0.7578 0.6735 H
0.9940 0.2830 0.9623 H
0.4267 0.2162 0.5575 H
0.1647 0.2054 0.5571 H
0.9896 0.2806 0.8282 H
0.4539 0.2651 0.9604 H
0.5461 0.7349 0.0396 H
0.8111 0.7150 0.9427 H
0.8155 0.7427 0.1735 H
0.4316 0.2171 0.4625 H
0.5684 0.7829 0.5375 H
0.9692 0.2422 0.3265 H
0.5733 0.7838 0.4425 H
0.5497 0.7048 0.9429 H
0.1889 0.2850 0.0573 H
0.8353 0.7946 0.4429 H
0.8323 0.7808 0.6716 H
0.4503 0.2952 0.0571 H
0.7905 0.7157 0.0517 C
0.2095 0.2843 0.9483 C
0.8120 0.7840 0.5516 C
0.1880 0.2160 0.4484 C
0.3430 0.6776 0.2832 Br
0.7412 0.8766 0.2902 Br
0.3290 0.6934 0.5584 Br
0.3391 0.6232 0.7902 Br
0.2764 0.1778 0.2166 Br
0.6710 0.3066 0.4416 Br
0.6570 0.3224 0.7168 Br
0.7129 0.1928 0.9417 Br
0.7236 0.8222 0.7834 Br
0.2871 0.8072 0.0583 Br
0.2588 0.1234 0.7098 Br
0.6609 0.3768 0.2098 Br
0.4342 0.8758 0.2090 Zn
0.4837 0.6245 0.7091 Zn
0.5658 0.1242 0.7910 Zn
0.5163 0.3755 0.2909 Zn
```

---

[9]
Entry from the Alexandria database: a geometry-optimized Nd8HC3Br4 structure (PBE).

Values from the calculation:
uncorrected energy: -5.571 eV per atom
density of states at the Fermi level: 6.5 states/eV/cell

Structure (POSCAR):
```
Nd8HC3Br4
1.0
-7.0684 -2.8391 0.3065
2.6286 -5.9270 5.7177
1.2684 7.2798 1.8788
Br C Nd H
4 3 8 1
Direct
0.0000 0.0000 0.0000 Br
0.5000 0.0000 0.0000 Br
0.0000 0.0000 0.5000 Br
0.5000 0.0000 0.5000 Br
0.5000 0.5000 0.0000 C
0.5000 0.5000 0.5000 C
0.0000 0.5000 0.5000 C
0.2371 0.6885 0.9514 Nd
0.7142 0.6885 0.9514 Nd
0.2371 0.6884 0.4742 Nd
0.2858 0.3115 0.0486 Nd
0.2722 0.3167 0.5445 Nd
0.7629 0.3116 0.5258 Nd
0.7629 0.3115 0.0486 Nd
0.7278 0.6833 0.4555 Nd
0.0000 0.5000 0.0000 H
```

---

[10]
Entry from the Alexandria database: a geometry-optimized Nd8HC3Br3 structure (PBE).

Values from the calculation:
uncorrected energy: -5.620 eV per atom
density of states at the Fermi level: 10.0 states/eV/cell

Structure (POSCAR):
```
Nd8HC3Br3
1.0
7.6383 -0.0011 0.0005
-3.8201 6.6174 -0.0286
0.0011 -4.3848 7.2602
Nd H Br C
8 1 3 3
Direct
0.7554 0.5110 0.3025 Nd
0.2446 0.4890 0.6975 Nd
0.2908 0.0465 0.3025 Nd
0.7092 0.9535 0.6975 Nd
0.2706 0.5412 0.3120 Nd
0.7294 0.4588 0.6880 Nd
0.2444 0.9535 0.6975 Nd
0.7556 0.0465 0.3025 Nd
0.0000 0.0000 0.5000 H
0.5000 0.5000 0.0000 Br
0.0000 0.5000 0.0000 Br
0.0000 0.0000 0.0000 Br
0.5000 0.5000 0.5000 C
0.0000 0.5000 0.5000 C
0.5000 0.0000 0.5000 C
```

---

[11]
Entry from the Alexandria database: a geometry-optimized NiH2CBr structure (PBE).

Values from the calculation:
uncorrected energy: -3.246 eV per atom
density of states at the Fermi level: 1.8 states/eV/cell

Structure (POSCAR):
```
NiH2CBr
1.0
-0.5646 2.9582 -0.9127
-6.0077 -0.1202 3.3265
1.4168 1.0718 2.5974
Br H C Ni
1 2 1 1
Direct
0.0000 0.0000 0.0000 Br
0.5000 0.0000 0.0000 H
0.0000 0.0000 0.5000 H
0.5000 0.5000 0.5000 C
0.0000 0.5000 0.0000 Ni
```